1.
Material: Cu2BCl
Method: DFT, meta-GGA SCAN
State: single point on PBEsol structure

The structure in CIF format:
```
data_Cu2BCl
_chemical_formula_sum 'Cu8 B4 Cl4'
_cell_length_a 5.8385
_cell_length_b 5.8385
_cell_length_c 5.8385
_cell_angle_alpha 90.00
_cell_angle_beta 90.00
_cell_angle_gamma 90.00
_symmetry_space_group_name_H-M 'F m -3 m'
_symmetry_Int_Tables_number 225
_symmetry_space_group_name_Hall '-F 4 2 3'
loop_
_atom_site_label
_atom_site_type_symbol
_atom_site_fract_x
_atom_site_fract_y
_atom_site_fract_z
_atom_site_occupancy
Cu1 Cu 0.2500 0.2500 0.2500 1
B1 B 0.0000 0.0000 0.0000 1
Cl1 Cl 0.0000 0.0000 0.5000 1
```

Summary:
**Raw formation energy**: 1.15 eV/atom
**Total moment**: 0.00 μB per formula unit
**Theoretical density**: 5.79 Mg/m³

***

2.
Material: CuBS2Cl
Method: DFT, meta-GGA SCAN
State: single point on PBEsol structure

The structure in CIF format:
```
data_CuBS2Cl
_chemical_formula_sum 'Cu1 B1 S2 Cl1'
_cell_length_a 4.4205
_cell_length_b 4.4205
_cell_length_c 4.6797
_cell_angle_alpha 90.00
_cell_angle_beta 90.00
_cell_angle_gamma 90.00
_symmetry_space_group_name_H-M 'P 4/m m m'
_symmetry_Int_Tables_number 123
_symmetry_space_group_name_Hall '-P 4 2'
loop_
_atom_site_label
_atom_site_type_symbol
_atom_site_fract_x
_atom_site_fract_y
_atom_site_fract_z
_atom_site_occupancy
Cu1 Cu 0.0000 0.0000 0.0000 1
B1 B 0.5000 0.5000 0.5000 1
S1 S 0.0000 0.5000 0.0000 1
Cl1 Cl 0.0000 0.0000 0.5000 1
```

Summary:
**Raw formation energy**: 1.17 eV/atom
**Total moment**: 0.00 μB per formula unit
**Theoretical density**: 3.16 Mg/m³